(1)
Here is a relaxed PrLuInHg crystal from Alexandria. Energies are from PBE-GGA.

Values from the calculation:
Magnetization: 0.00 μB/cell
Final energy: -14.07 eV for the cell shown
Crystal system: cubic
Calculated formation energy: -0.433 eV/atom

Structure (POSCAR):
```
PrLuInHg
1.0
5.368 0.000 0.000
2.684 4.649 0.000
2.684 1.550 4.383
Hg Lu In Pr
1 1 1 1
Direct
0.750 0.750 0.750 Hg
0.000 0.000 0.000 Lu
0.250 0.250 0.250 In
0.500 0.500 0.500 Pr
```

---

(2)
Here is a relaxed LuPuInHg crystal from Alexandria. Energies are from PBE-GGA.

Values from the calculation:
Magnetization: 6.08 μB/cell
Final energy: -22.86 eV for the cell shown
Crystal system: cubic
Calculated formation energy: -0.243 eV/atom

Structure (POSCAR):
```
LuPuInHg
1.0
-1.230 -3.140 4.074
3.461 -0.701 3.937
-0.950 2.096 4.762
Lu Hg In Pu
1 1 1 1
Direct
0.250 0.250 0.250 Lu
0.500 0.500 0.500 Hg
0.000 0.000 0.000 In
0.750 0.750 0.750 Pu
```

---

(3)
Here is a relaxed LuInHgRh crystal from Alexandria. Energies are from PBE-GGA.

Values from the calculation:
Magnetization: 0.00 μB/cell
Final energy: -16.57 eV for the cell shown
Crystal system: cubic
Calculated formation energy: -0.415 eV/atom

Structure (POSCAR):
```
LuInHgRh
1.0
-4.104 -2.408 -0.992
-0.715 -1.861 -4.433
0.107 -4.814 -0.661
In Rh Lu Hg
1 1 1 1
Direct
0.750 0.750 0.750 In
0.000 0.000 0.000 Rh
0.250 0.250 0.250 Lu
0.500 0.500 0.500 Hg
```

---

Copy entry 1 word for word.
Here is a relaxed PrLuInHg crystal from Alexandria. Energies are from PBE-GGA.

Values from the calculation:
Magnetization: 0.00 μB/cell
Final energy: -14.07 eV for the cell shown
Crystal system: cubic
Calculated formation energy: -0.433 eV/atom

Structure (POSCAR):
```
PrLuInHg
1.0
5.368 0.000 0.000
2.684 4.649 0.000
2.684 1.550 4.383
Hg Lu In Pr
1 1 1 1
Direct
0.750 0.750 0.750 Hg
0.000 0.000 0.000 Lu
0.250 0.250 0.250 In
0.500 0.500 0.500 Pr
```

---

- Look up the calculated formation energy of the third one.
  -0.415 eV/atom